Record 1
Cs2TeS2 after structural relaxation, computed with PBE.

Output
SG: No. 36
Uncorrected energy: -3.38 eV per atom
ΔE to the lowest computed polymorph: 0.0525 eV/atom
Energy relative to the elements, uncorrected: -763.6 meV per atom

Unit cell a=10.869 b=10.869 c=7.373 alpha=90.00 beta=90.00 gamma=152.38
Positions (direct):
Cs 0.019 0.981 0.500
Cs 0.203 0.797 0.258
Cs 0.797 0.203 0.758
Cs 0.981 0.019 0.000
Te 0.381 0.619 0.359
Te 0.619 0.381 0.859
S 0.150 0.850 0.810
S 0.412 0.588 0.677
S 0.588 0.412 0.177
S 0.850 0.150 0.310


Record 2
Cs5Te2S6 after structural relaxation, computed with PBE.

Output
SG: No. 55
Uncorrected energy: -3.43 eV per atom
Energy relative to the elements, uncorrected: -710.7 meV per atom

Unit cell a=14.052 b=14.091 c=5.431 alpha=90.00 beta=90.00 gamma=90.00
Positions (direct):
Cs 0.000 0.000 0.000
Cs 0.041 0.286 0.000
Cs 0.216 0.526 0.000
Cs 0.284 0.026 0.000
Cs 0.459 0.786 0.000
Cs 0.500 0.500 0.000
Cs 0.541 0.214 0.000
Cs 0.716 0.974 0.000
Cs 0.784 0.474 0.000
Cs 0.959 0.714 0.000
Te 0.214 0.732 0.500
Te 0.286 0.232 0.500
Te 0.714 0.768 0.500
Te 0.786 0.268 0.500
S 0.090 0.616 0.500
S 0.141 0.133 0.500
S 0.205 0.776 0.000
S 0.295 0.276 0.000
S 0.359 0.633 0.500
S 0.410 0.116 0.500
S 0.590 0.884 0.500
S 0.641 0.367 0.500
S 0.705 0.724 0.000
S 0.795 0.224 0.000
S 0.859 0.867 0.500
S 0.910 0.384 0.500


Record 3
Cs4TeS4 after structural relaxation, computed with PBE.

Output
SG: No. 87
Uncorrected energy: -3.26 eV per atom
Energy relative to the elements, uncorrected: -701.1 meV per atom

Unit cell a=8.127 b=8.127 c=8.127 alpha=100.56 beta=100.56 gamma=129.31
Positions (direct):
Cs 0.092 0.705 0.797
Cs 0.295 0.092 0.388
Cs 0.705 0.908 0.612
Cs 0.908 0.295 0.203
Te 0.500 0.500 0.000
S 0.262 0.423 0.685
S 0.423 0.738 0.161
S 0.577 0.262 0.839
S 0.738 0.577 0.315


Record 4
CsTeS3 after structural relaxation, computed with PBE.

Output
SG: No. 221
Uncorrected energy: -3.45 eV per atom
ΔE to the lowest computed polymorph: 0.2039 eV/atom
Energy relative to the elements, uncorrected: -169.7 meV per atom

Unit cell a=5.225 b=5.225 c=5.225 alpha=90.00 beta=90.00 gamma=90.00
Positions (direct):
Cs 0.000 0.000 0.000
Te 0.500 0.500 0.500
S 0.000 0.500 0.500
S 0.500 0.000 0.500
S 0.500 0.500 0.000


Record 5
CsTe2S3 after structural relaxation, computed with PBE.

Output
SG: No. 63
Uncorrected energy: -3.53 eV per atom
Energy relative to the elements, uncorrected: -280.5 meV per atom

Unit cell a=8.564 b=8.564 c=7.458 alpha=90.00 beta=90.00 gamma=90.56
Positions (direct):
Cs 0.216 0.784 0.750
Cs 0.784 0.216 0.250
Te 0.330 0.330 0.000
Te 0.330 0.330 0.500
Te 0.670 0.670 0.000
Te 0.670 0.670 0.500
S 0.178 0.193 0.750
S 0.193 0.178 0.250
S 0.495 0.505 0.250
S 0.505 0.495 0.750
S 0.807 0.822 0.750
S 0.822 0.807 0.250


Record 6
CsTe2S4 after structural relaxation, computed with PBE.

Output
SG: No. 1
Uncorrected energy: -3.65 eV per atom
ΔE to the lowest computed polymorph: 0.0081 eV/atom
Energy relative to the elements, uncorrected: -273.4 meV per atom

Unit cell a=8.122 b=8.499 c=9.518 alpha=114.96 beta=90.55 gamma=105.94
Positions (direct):
Cs 0.000 0.000 0.000
Cs 0.011 0.316 0.537
Te 0.452 0.848 0.707
Te 0.506 0.487 0.316
Te 0.539 0.534 0.895
Te 0.951 0.576 0.153
S 0.271 0.721 0.847
S 0.297 0.686 0.438
S 0.360 0.224 0.331
S 0.362 0.382 0.039
S 0.675 0.711 0.667
S 0.776 0.408 0.872
S 0.797 0.351 0.228
S 0.831 0.808 0.262


Record 7
CsTe3S after structural relaxation, computed with PBE.

Output
SG: No. 221
Uncorrected energy: -1.51 eV per atom
ΔE to the lowest computed polymorph: 1.4289 eV/atom
Energy relative to the elements, uncorrected: 1373.4 meV per atom

Unit cell a=6.520 b=6.520 c=6.520 alpha=90.00 beta=90.00 gamma=90.00
Positions (direct):
Cs 0.000 0.000 0.000
Te 0.000 0.000 0.500
Te 0.000 0.500 0.000
Te 0.500 0.000 0.000
S 0.500 0.500 0.500


Record 8
Cs5TeS6 after structural relaxation, computed with PBE.

Output
SG: No. 12
Uncorrected energy: -3.28 eV per atom
Energy relative to the elements, uncorrected: -595.3 meV per atom

Unit cell a=8.409 b=8.409 c=8.168 alpha=100.45 beta=100.45 gamma=119.18
Positions (direct):
Cs 0.000 0.000 0.000
Cs 0.165 0.835 0.500
Cs 0.332 0.668 0.000
Cs 0.668 0.332 0.000
Cs 0.835 0.165 0.500
Te 0.500 0.500 0.500
S 0.190 0.438 0.309
S 0.323 0.323 0.689
S 0.438 0.190 0.309
S 0.562 0.810 0.691
S 0.677 0.677 0.311
S 0.810 0.562 0.691


Record 9
Cs3TeS4 after structural relaxation, computed with PBE.

Output
SG: No. 44
Uncorrected energy: -3.44 eV per atom
Energy relative to the elements, uncorrected: -665.8 meV per atom

Unit cell a=7.431 b=11.161 c=7.817 alpha=90.00 beta=90.00 gamma=90.00
Positions (direct):
Cs 0.000 0.000 0.000
Cs 0.000 0.247 0.404
Cs 0.000 0.753 0.404
Cs 0.500 0.253 0.904
Cs 0.500 0.500 0.500
Cs 0.500 0.747 0.904
Te 0.000 0.500 0.005
Te 0.500 0.000 0.505
S 0.000 0.326 0.827
S 0.000 0.674 0.827
S 0.174 0.000 0.610
S 0.326 0.500 0.110
S 0.500 0.174 0.327
S 0.500 0.826 0.327
S 0.674 0.500 0.110
S 0.826 0.000 0.610


Record 10
CsTeS3 after structural relaxation, computed with PBE.

Output
SG: No. 63
Uncorrected energy: -3.45 eV per atom
ΔE to the lowest computed polymorph: 0.2036 eV/atom
Energy relative to the elements, uncorrected: -170.0 meV per atom

Unit cell a=5.245 b=5.245 c=10.474 alpha=90.00 beta=90.00 gamma=90.31
Positions (direct):
Cs 0.014 0.986 0.750
Cs 0.986 0.014 0.250
Te 0.500 0.500 0.000
Te 0.500 0.500 0.500
S 0.000 0.500 0.000
S 0.000 0.500 0.500
S 0.470 0.530 0.250
S 0.500 0.000 0.000
S 0.500 0.000 0.500
S 0.530 0.470 0.750


Record 11
CsTe2S6 after structural relaxation, computed with PBE.

Output
SG: No. 2
Uncorrected energy: -3.65 eV per atom
Energy relative to the elements, uncorrected: -109.8 meV per atom

Unit cell a=6.624 b=6.759 c=8.582 alpha=99.08 beta=111.90 gamma=94.98
Positions (direct):
Cs 0.000 0.000 0.000
Te 0.315 0.721 0.708
Te 0.685 0.279 0.292
S 0.065 0.912 0.434
S 0.442 0.344 0.438
S 0.476 0.344 0.998
S 0.524 0.656 0.002
S 0.558 0.656 0.562
S 0.935 0.088 0.566


Record 12
CsTe2S4 after structural relaxation, computed with PBE.

Output
SG: No. 1
Uncorrected energy: -3.66 eV per atom
ΔE to the lowest computed polymorph: 0.0000 eV/atom
Energy relative to the elements, uncorrected: -281.5 meV per atom

Unit cell a=8.127 b=8.786 c=8.861 alpha=92.19 beta=106.27 gamma=112.91
Positions (direct):
Cs 0.000 0.000 0.000
Cs 0.218 0.594 0.338
Te 0.380 0.551 0.861
Te 0.668 0.452 0.225
Te 0.670 0.048 0.426
Te 0.742 0.460 0.697
S 0.001 0.596 0.922
S 0.388 0.060 0.406
S 0.437 0.307 0.897
S 0.550 0.718 0.119
S 0.587 0.682 0.705
S 0.787 0.228 0.235
S 0.871 0.622 0.501
S 0.885 0.231 0.672


- Which value of energy relative to the elements, uncorrected does entry 4 give?
  -169.7 meV per atom


- Look up the energy relative to the elements, uncorrected of the first one.
  -763.6 meV per atom